No. 1
The following is a DFT calculation (PBE-GGA) of a relaxed structure of PaCdI2.

abc: 3.8914 3.8914 12.3864
angles: 80.96 80.96 60.00
With the nearest neighbours (Å) after each atom.
Fractional coordinates of all 4 atoms:
1 I 0.0788 0.0788 0.7637  1 Pa 2.88
2 I 0.9212 0.9212 0.2363  1 Pa 2.88
3 Pa 0.0000 0.0000 0.0000  2 I 2.88
4 Cd 0.5000 0.5000 0.5000  6 Cd 3.89, 6 I 3.92

Computed properties:
- symmetry = No. 166
- total magnetic moment (μB/f.u.) = 0.94
- DOS(E_F) (states/eV per atom) = 1.08


No. 2
The following is a DFT calculation (PBE-GGA) of a relaxed structure of PaCdI6.

abc: 7.5333 7.5247 8.0954
angles: 62.31 80.60 69.43
With the nearest neighbours (Å) after each atom.
Fractional coordinates of all 8 atoms:
1 Pa 0.5000 0.5000 0.0000  6 I 2.98-3.07
2 Cd 0.0000 0.0000 0.0000  6 I 3.00-3.20
3 I 0.7554 0.3931 0.7007  1 Cd 3.00, 1 Pa 3.07
4 I 0.7554 0.0937 0.2993  1 Cd 3.00, 1 Pa 3.07
5 I 0.2446 0.9063 0.7007  1 Cd 3.00, 1 Pa 3.07
6 I 0.2446 0.6069 0.2993  1 Cd 3.00, 1 Pa 3.07
7 I 0.7417 0.7405 0.0000  1 Pa 2.98, 1 Cd 3.20
8 I 0.2583 0.2595 0.0000  1 Pa 2.98, 1 Cd 3.20

Computed properties:
- symmetry = No. 12
- total magnetic moment (μB/f.u.) = 1.02
- DOS(E_F) (states/eV per atom) = 0.47


No. 3
The following is a DFT calculation (PBE-GGA) of a relaxed structure of Pa2CdI8.

abc: 10.6059 9.4556 9.4556
angles: 55.61 105.14 105.14
With the nearest neighbours (Å) after each atom.
Fractional coordinates of all 11 atoms:
1 Pa 0.6911 0.2171 0.2171  4 I 2.88-2.91
2 Pa 0.3089 0.7829 0.7829  4 I 2.88-2.91
3 Cd 0.0000 0.0000 0.0000  6 I 4.38-4.41
4 I 0.2174 0.1133 0.6041  1 Pa 2.88
5 I 0.2174 0.6041 0.1133  1 Pa 2.88
6 I 0.7826 0.8867 0.3959  1 Pa 2.88
7 I 0.1909 0.6033 0.6033  1 Pa 2.89
8 I 0.7826 0.3959 0.8867  1 Pa 2.88
9 I 0.4045 0.1722 0.1722  1 Pa 2.91
10 I 0.5955 0.8278 0.8278  1 Pa 2.91
11 I 0.8091 0.3967 0.3967  1 Pa 2.89

Computed properties:
- relative energy among the computed polymorphs (meV/atom) = 30.5
- symmetry = No. 12
- total magnetic moment (μB/f.u.) = 2.00
- DOS(E_F) (states/eV per atom) = 0.49


No. 4
The following is a DFT calculation (PBE-GGA) of a relaxed structure of PaCd2I8.

abc: 7.2638 9.2241 9.2241
angles: 65.19 91.21 91.21
With the nearest neighbours (Å) after each atom.
Fractional coordinates of all 11 atoms:
1 Pa 0.0000 0.0000 0.0000  6 I 3.05-3.06
2 Cd 0.6314 0.1850 0.1850  4 I 2.69-2.93
3 Cd 0.3686 0.8150 0.8150  4 I 2.69-2.93
4 I 0.2419 0.1411 0.7048  1 Cd 2.91, 1 Pa 3.05
5 I 0.2419 0.7048 0.1411  1 Cd 2.91, 1 Pa 3.05
6 I 0.7581 0.8589 0.2952  1 Cd 2.91, 1 Pa 3.05
7 I 0.2875 0.6453 0.6453  1 Cd 2.69
8 I 0.7581 0.2952 0.8589  1 Cd 2.91, 1 Pa 3.05
9 I 0.2282 0.1679 0.1679  1 Cd 2.93, 1 Pa 3.06
10 I 0.7718 0.8321 0.8321  1 Cd 2.93, 1 Pa 3.06
11 I 0.7125 0.3547 0.3547  1 Cd 2.69

Computed properties:
- symmetry = No. 12
- total magnetic moment (μB/f.u.) = 1.00
- DOS(E_F) (states/eV per atom) = 0.06


The evaluated energy for the records listed, in turn: -3.2928, -3.2294, -3.5603, -2.8586 eV/atom.
The evaluated formation energy from raw total energies for the records listed, in turn: 0.3, -6.1, -6.9, -7.7 eV per formula unit.